Entry 1:
DFT (GGA-PBE) results for Be3Tc after structural relaxation. Values from VASP.

The structure in Quantum ESPRESSO input format:
```
&SYSTEM
  ibrav = 0, nat = 4, ntyp = 2
/
ATOMIC_SPECIES
Be 9.01 Be.upf
Tc 98.00 Tc.upf
CELL_PARAMETERS angstrom
2.485 0.000 0.000
0.000 3.062 0.000
0.000 0.000 5.216
ATOMIC_POSITIONS crystal
Be 0.000 0.000 0.000
Be 0.500 0.500 0.220
Be 0.500 0.500 0.780
Tc 0.000 0.000 0.500
```

Properties
SG   Pmmm, No. 47
E_form   -0.001 eV per atom
VASP energy   -21.55 eV for the cell shown
Total magnetic moment   0.00 μB per formula unit

Entry 2:
DFT (GGA-PBE) results for Be3Tc5 after structural relaxation. Values from VASP.

The structure in Quantum ESPRESSO input format:
```
&SYSTEM
  ibrav = 0, nat = 16, ntyp = 2
/
ATOMIC_SPECIES
Be 9.01 Be.upf
Tc 98.00 Tc.upf
CELL_PARAMETERS angstrom
6.817 0.000 0.000
-3.408 5.903 0.000
0.000 0.000 4.818
ATOMIC_POSITIONS crystal
Be 0.000 0.398 0.250
Be 0.000 0.602 0.750
Be 0.398 0.000 0.250
Be 0.398 0.398 0.750
Be 0.602 0.000 0.750
Be 0.602 0.602 0.250
Tc 0.000 0.240 0.750
Tc 0.000 0.760 0.250
Tc 0.240 0.000 0.750
Tc 0.240 0.240 0.250
Tc 0.333 0.667 0.000
Tc 0.333 0.667 0.500
Tc 0.667 0.333 0.000
Tc 0.667 0.333 0.500
Tc 0.760 0.000 0.250
Tc 0.760 0.760 0.750
```

Properties
SG   P6_3/mcm, No. 193
E_form   -0.080 eV per atom
VASP energy   -127.30 eV for the cell shown
Total magnetic moment   0.00 μB per formula unit

Entry 3:
DFT (GGA-PBE) results for BeTcTe3 after structural relaxation. Values from VASP.

The structure in Quantum ESPRESSO input format:
```
&SYSTEM
  ibrav = 0, nat = 5, ntyp = 3
/
ATOMIC_SPECIES
Be 9.01 Be.upf
Tc 98.00 Tc.upf
Te 127.60 Te.upf
CELL_PARAMETERS angstrom
5.227 0.000 0.000
0.000 5.227 0.000
0.000 0.000 5.227
ATOMIC_POSITIONS crystal
Be 0.000 0.000 0.000
Tc 0.500 0.500 0.500
Te 0.000 0.500 0.500
Te 0.500 0.000 0.500
Te 0.500 0.500 0.000
```

Properties
SG   Pm-3m, No. 221
VASP energy   -18.68 eV for the cell shown
Uncorrected formation energy   0.9679 eV/atom
Total magnetic moment   0.00 μB per formula unit

Question: Which formula does entry 3 have?
Answer: BeTcTe3

What did the second record say?
DFT (GGA-PBE) results for Be3Tc5 after structural relaxation. Values from VASP.

The structure in Quantum ESPRESSO input format:
```
&SYSTEM
  ibrav = 0, nat = 16, ntyp = 2
/
ATOMIC_SPECIES
Be 9.01 Be.upf
Tc 98.00 Tc.upf
CELL_PARAMETERS angstrom
6.817 0.000 0.000
-3.408 5.903 0.000
0.000 0.000 4.818
ATOMIC_POSITIONS crystal
Be 0.000 0.398 0.250
Be 0.000 0.602 0.750
Be 0.398 0.000 0.250
Be 0.398 0.398 0.750
Be 0.602 0.000 0.750
Be 0.602 0.602 0.250
Tc 0.000 0.240 0.750
Tc 0.000 0.760 0.250
Tc 0.240 0.000 0.750
Tc 0.240 0.240 0.250
Tc 0.333 0.667 0.000
Tc 0.333 0.667 0.500
Tc 0.667 0.333 0.000
Tc 0.667 0.333 0.500
Tc 0.760 0.000 0.250
Tc 0.760 0.760 0.750
```

Properties
SG   P6_3/mcm, No. 193
E_form   -0.080 eV per atom
VASP energy   -127.30 eV for the cell shown
Total magnetic moment   0.00 μB per formula unit